# K4PrHo3Se8

A relaxed K4PrHo3Se8 crystal (GGA-PBE, Alexandria).

```
K4PrHo3Se8
1.0
4.2439 2.4502 7.6894
-4.2439 2.4502 7.6894
0.0000 -4.9004 7.6894
K Pr Ho Se
4 1 3 8
direct
0.0000 0.0000 0.0000 K
0.0000 0.5000 0.5000 K
0.5000 0.0000 0.5000 K
0.5000 0.5000 0.0000 K
0.5000 0.5000 0.5000 Pr
0.0000 0.0000 0.5000 Ho
0.0000 0.5000 0.0000 Ho
0.5000 0.0000 0.0000 Ho
0.2262 0.7405 0.7405 Se
0.2344 0.2344 0.2344 Se
0.2595 0.2595 0.7738 Se
0.2595 0.7738 0.2595 Se
0.7405 0.2262 0.7405 Se
0.7405 0.7405 0.2262 Se
0.7656 0.7656 0.7656 Se
0.7738 0.2595 0.2595 Se
```

Computed properties:
total magnetization: 0.00 μB/cell
raw formation energy: -1.754 eV per atom
DFT total energy: -4.9272 eV per atom
DOS at the Fermi energy: 0.00 states/eV/cell